1.
Density functional theory data (meta-GGA SCAN) for a crystal of LiCoPtAu2 relaxed with PBEsol.

Results
total moment	2.712	Bohr magnetons per cell
formation energy from the elements	0.454	eV/atom
D(E_F)	2.5	states/eV/f.u.

```
LiCoPtAu2
1.0
4.720 0.000 0.000
0.000 4.720 0.000
0.000 0.000 4.517
Li Co Pt Au
1 1 1 2
Cartesian
0.000 0.000 0.000 Li
2.360 2.360 2.258 Co
2.360 2.360 0.000 Pt
0.000 2.360 2.258 Au
2.360 0.000 2.258 Au
```

---

2.
Density functional theory data (meta-GGA SCAN) for a crystal of Rb2LiCoAu relaxed with PBEsol.

Results
total moment	2.473	Bohr magnetons per cell
formation energy from the elements	0.407	eV/atom
D(E_F)	2.6	states/eV/f.u.

```
Rb2LiCoAu
1.0
6.483 0.000 0.000
0.000 6.483 0.000
0.000 0.000 4.788
Rb Li Co Au
2 1 1 1
Cartesian
0.000 3.242 0.000 Rb
3.242 0.000 0.000 Rb
0.000 0.000 2.394 Li
3.242 3.242 2.394 Co
3.242 3.242 0.000 Au
```

---

3.
Density functional theory data (meta-GGA SCAN) for a crystal of Mg2CoAu relaxed with PBEsol.

Results
total moment	1.413	Bohr magnetons per cell
formation energy from the elements	-0.335	eV/atom
D(E_F)	2.1	states/eV/f.u.

```
Mg2CoAu
1.0
4.166 0.000 0.000
0.000 4.166 0.000
0.000 0.000 3.500
Mg Co Au
2 1 1
Cartesian
0.000 2.083 0.000 Mg
2.083 0.000 0.000 Mg
0.000 0.000 1.750 Co
2.083 2.083 1.750 Au
```

---

4.
Density functional theory data (meta-GGA SCAN) for a crystal of MnCoRe2Au relaxed with PBEsol.

Results
total moment	2.777	Bohr magnetons per cell
formation energy from the elements	1.417	eV/atom
D(E_F)	3.7	states/eV/f.u.

```
MnCoRe2Au
1.0
4.328 0.000 0.000
0.000 4.328 0.000
0.000 0.000 4.614
Mn Co Re Au
1 1 2 1
Cartesian
0.000 0.000 0.000 Mn
2.164 2.164 2.307 Co
0.000 2.164 2.307 Re
2.164 0.000 2.307 Re
2.164 2.164 0.000 Au
```

---

5.
Density functional theory data (meta-GGA SCAN) for a crystal of Co3MoAu relaxed with PBEsol.

Results
total moment	2.665	Bohr magnetons per cell
formation energy from the elements	1.590	eV/atom
D(E_F)	3.2	states/eV/f.u.

```
Co3MoAu
1.0
4.286 0.000 0.000
0.000 4.286 0.000
0.000 0.000 4.286
Co Mo Au
3 1 1
Cartesian
0.000 0.000 2.143 Co
0.000 2.143 0.000 Co
2.143 0.000 0.000 Co
0.000 0.000 0.000 Mo
2.143 2.143 2.143 Au
```

---

6.
Density functional theory data (meta-GGA SCAN) for a crystal of CoMoAu4 relaxed with PBEsol.

Results
total moment	1.326	Bohr magnetons per cell
formation energy from the elements	0.607	eV/atom
D(E_F)	3.4	states/eV/f.u.

```
CoMoAu4
1.0
0.000 3.729 3.729
3.729 0.000 3.729
3.729 3.729 0.000
Co Mo Au
1 1 4
Cartesian
0.000 0.000 0.000 Co
1.864 1.864 1.864 Mo
4.662 2.796 2.796 Au
2.796 4.662 2.796 Au
2.796 2.796 4.662 Au
4.662 4.662 4.662 Au
```